(1)
Entry from Alexandria via LeMat-Bulk: AgSbTe2W at its PBEsol-relaxed geometry (meta-GGA SCAN). Values from VASP.

```
&SYSTEM
  ibrav = 0, nat = 5, ntyp = 4
/
ATOMIC_SPECIES
Te 127.60 Te.upf
Sb 121.76 Sb.upf
W 183.84 W.upf
Ag 107.87 Ag.upf
CELL_PARAMETERS angstrom
5.215 0.000 0.000
0.000 5.215 0.000
0.000 0.000 5.232
ATOMIC_POSITIONS crystal
Te 0.000 0.500 0.000
Te 0.500 0.000 0.000
Sb 0.000 0.000 0.500
W 0.000 0.000 0.000
Ag 0.500 0.500 0.500
```

VASP energy, eV per cell: -208.6



(2)
Entry from Alexandria via LeMat-Bulk: ScTl at its PBEsol-relaxed geometry (meta-GGA SCAN). Values from VASP.

```
&SYSTEM
  ibrav = 0, nat = 4, ntyp = 2
/
ATOMIC_SPECIES
Tl 204.38 Tl.upf
Sc 44.96 Sc.upf
CELL_PARAMETERS angstrom
-3.695 -2.941 1.658
4.742 -0.989 1.259
-0.544 3.301 4.642
ATOMIC_POSITIONS crystal
Tl 0.333 0.667 0.250
Sc 0.333 0.667 0.750
Sc 0.667 0.333 0.250
Tl 0.667 0.333 0.750
```

VASP energy, eV per cell: -172.7
E_form, meV/atom: 110.4



(3)
Entry from Alexandria via LeMat-Bulk: Rb2ZnAgC at its PBEsol-relaxed geometry (meta-GGA SCAN). Values from VASP.

```
&SYSTEM
  ibrav = 0, nat = 5, ntyp = 4
/
ATOMIC_SPECIES
Rb 85.47 Rb.upf
C 12.01 C.upf
Ag 107.87 Ag.upf
Zn 65.41 Zn.upf
CELL_PARAMETERS angstrom
4.800 0.000 0.000
0.000 6.397 0.000
0.000 0.000 6.397
ATOMIC_POSITIONS crystal
Rb 0.000 0.500 0.000
C 0.500 0.500 0.500
Ag 0.500 0.000 0.000
Zn 0.000 0.000 0.000
Rb 0.000 0.000 0.500
```

VASP energy, eV per cell: -90.5
E_form, meV/atom: 1194.0



(4)
Entry from Alexandria via LeMat-Bulk: NaNbO2 at its PBEsol-relaxed geometry (meta-GGA SCAN). Values from VASP.

```
&SYSTEM
  ibrav = 0, nat = 4, ntyp = 3
/
ATOMIC_SPECIES
Na 22.99 Na.upf
Nb 92.91 Nb.upf
O 16.00 O.upf
CELL_PARAMETERS angstrom
2.944 0.000 0.000
1.472 2.550 0.000
1.472 0.850 5.861
ATOMIC_POSITIONS crystal
Na 0.500 0.500 0.500
Nb 0.000 0.000 0.000
O 0.256 0.256 0.231
O 0.744 0.744 0.769
```

VASP energy, eV per cell: -58.5



(5)
Entry from Alexandria via LeMat-Bulk: SrBePt4 at its PBEsol-relaxed geometry (meta-GGA SCAN). Values from VASP.

```
&SYSTEM
  ibrav = 0, nat = 6, ntyp = 3
/
ATOMIC_SPECIES
Pt 195.08 Pt.upf
Sr 87.62 Sr.upf
Be 9.01 Be.upf
CELL_PARAMETERS angstrom
-3.541 -2.408 3.134
1.084 -4.774 2.048
0.963 -0.502 5.194
ATOMIC_POSITIONS crystal
Pt 0.374 0.374 0.877
Pt 0.374 0.374 0.374
Sr 0.750 0.750 0.750
Pt 0.877 0.374 0.374
Pt 0.374 0.877 0.374
Be 0.000 0.000 0.000
```

VASP energy, eV per cell: -309.5
E_form, meV/atom: -357.2



(6)
Entry from Alexandria via LeMat-Bulk: CsTcPd2 at its PBEsol-relaxed geometry (meta-GGA SCAN). Values from VASP.

```
&SYSTEM
  ibrav = 0, nat = 4, ntyp = 3
/
ATOMIC_SPECIES
Pd 106.42 Pd.upf
Cs 132.91 Cs.upf
Tc 98.00 Tc.upf
CELL_PARAMETERS angstrom
-1.464 2.903 3.583
-4.725 0.690 0.777
-2.105 -1.880 3.930
ATOMIC_POSITIONS crystal
Pd 0.250 0.250 0.250
Cs 0.500 0.500 0.500
Tc 0.000 0.000 0.000
Pd 0.750 0.750 0.750
```

VASP energy, eV per cell: -134.0
E_form, meV/atom: 1114.6



(7)
Entry from Alexandria via LeMat-Bulk: Al2O3 at its PBEsol-relaxed geometry (meta-GGA SCAN). Values from VASP.

```
&SYSTEM
  ibrav = 0, nat = 80, ntyp = 2
/
ATOMIC_SPECIES
Al 26.98 Al.upf
O 16.00 O.upf
CELL_PARAMETERS angstrom
5.597 0.000 0.000
2.760 4.869 0.000
0.262 0.153 27.319
ATOMIC_POSITIONS crystal
Al 0.499 0.999 0.749
Al 0.349 0.349 0.829
O 0.677 0.677 0.291
Al 0.830 0.337 0.082
O 0.668 0.161 0.546
Al 0.499 0.999 0.252
Al 0.676 0.676 0.355
O 0.346 0.845 0.208
Al 0.666 0.666 0.477
O 0.332 0.836 0.453
O 0.161 0.668 0.546
O 0.836 0.332 0.453
O 0.507 0.980 0.125
Al 0.167 0.167 0.916
O 0.032 0.491 0.876
Al 0.332 0.332 0.524
O 0.653 0.155 0.294
Al 0.828 0.828 0.082
Al 0.833 0.323 0.580
O 0.346 0.843 0.706
O 0.322 0.322 0.214
Al 0.002 0.002 0.190
O 0.162 0.162 0.547
Al 0.325 0.325 0.151
Al 0.335 0.335 0.018
O 0.502 0.502 0.126
O 0.303 0.853 0.954
Al 0.348 0.348 0.332
O 0.821 0.821 0.707
O 0.005 0.005 0.875
O 0.155 0.653 0.294
O 0.003 0.003 0.380
O 0.032 0.489 0.378
O 0.967 0.510 0.622
Al 0.676 0.676 0.853
Al 0.651 0.651 0.669
Al 0.323 0.833 0.580
O 0.685 0.157 0.044
Al 0.999 0.499 0.749
O 0.489 0.032 0.378
O 0.995 0.995 0.620
O 0.157 0.685 0.044
Al 0.166 0.678 0.917
O 0.835 0.835 0.453
Al 0.165 0.676 0.421
O 0.157 0.652 0.791
O 0.851 0.851 0.954
Al 0.997 0.997 0.809
Al 0.833 0.833 0.580
O 0.510 0.967 0.622
O 0.158 0.158 0.044
O 0.652 0.157 0.791
O 0.491 0.032 0.876
O 0.997 0.997 0.121
Al 0.337 0.830 0.082
O 0.679 0.679 0.789
Al 0.002 0.002 0.688
O 0.980 0.507 0.125
O 0.823 0.823 0.209
Al 0.676 0.165 0.421
O 0.337 0.337 0.953
O 0.494 0.494 0.377
O 0.321 0.321 0.709
Al 0.653 0.653 0.172
O 0.176 0.176 0.293
Al 0.001 0.001 0.994
O 0.663 0.663 0.544
O 0.843 0.346 0.706
Al 0.323 0.323 0.646
O 0.845 0.346 0.208
O 0.853 0.303 0.954
O 0.504 0.504 0.623
Al 0.996 0.996 0.313
O 0.664 0.664 0.052
O 0.496 0.496 0.875
O 0.177 0.177 0.790
Al 0.999 0.499 0.252
Al 0.678 0.166 0.917
O 0.336 0.336 0.457
Al 0.166 0.166 0.421
```

VASP energy, eV per cell: -810.8



(8)
Entry from Alexandria via LeMat-Bulk: FeCuSi2 at its PBEsol-relaxed geometry (meta-GGA SCAN). Values from VASP.

```
&SYSTEM
  ibrav = 0, nat = 4, ntyp = 3
/
ATOMIC_SPECIES
Cu 63.55 Cu.upf
Fe 55.84 Fe.upf
Si 28.09 Si.upf
CELL_PARAMETERS angstrom
3.449 0.000 0.000
0.000 3.449 0.000
-1.724 -1.724 3.753
ATOMIC_POSITIONS crystal
Cu 0.500 0.500 0.000
Fe 0.750 0.250 0.500
Si 0.250 0.750 0.500
Si 0.000 0.000 0.000
```

VASP energy, eV per cell: -53.2



(9)
Entry from Alexandria via LeMat-Bulk: GaRhO2F at its PBEsol-relaxed geometry (meta-GGA SCAN). Values from VASP.

```
&SYSTEM
  ibrav = 0, nat = 5, ntyp = 4
/
ATOMIC_SPECIES
Ga 69.72 Ga.upf
Rh 102.91 Rh.upf
O 16.00 O.upf
F 19.00 F.upf
CELL_PARAMETERS angstrom
-2.649 2.637 -0.525
-1.317 -1.926 -3.029
-2.384 -1.943 2.272
ATOMIC_POSITIONS crystal
Ga 0.000 0.000 0.000
Rh 0.500 0.500 0.500
O 0.000 0.500 0.000
F 0.500 0.000 0.000
O 0.000 0.000 0.500
```

VASP energy, eV per cell: -71.1



(10)
Entry from Alexandria via LeMat-Bulk: LaZr3Cd at its PBEsol-relaxed geometry (meta-GGA SCAN). Values from VASP.

```
&SYSTEM
  ibrav = 0, nat = 5, ntyp = 3
/
ATOMIC_SPECIES
Zr 91.22 Zr.upf
La 138.91 La.upf
Cd 112.41 Cd.upf
CELL_PARAMETERS angstrom
-2.224 -4.447 0.845
4.326 -1.811 1.855
-1.332 1.543 4.613
ATOMIC_POSITIONS crystal
Zr 0.000 0.000 0.500
Zr 0.500 0.000 0.000
La 0.000 0.000 0.000
Cd 0.500 0.500 0.500
Zr 0.000 0.500 0.000
```

VASP energy, eV per cell: -159.9
E_form, meV/atom: 1145.8



(11)
Entry from Alexandria via LeMat-Bulk: LaSbPb at its PBEsol-relaxed geometry (meta-GGA SCAN). Values from VASP.

```
&SYSTEM
  ibrav = 0, nat = 3, ntyp = 3
/
ATOMIC_SPECIES
Sb 121.76 Sb.upf
Pb 207.20 Pb.upf
La 138.91 La.upf
CELL_PARAMETERS angstrom
-1.857 -0.026 4.919
-0.365 -4.528 2.648
3.241 -0.958 4.028
ATOMIC_POSITIONS crystal
Sb 0.250 0.250 0.250
Pb 0.500 0.500 0.500
La 0.000 0.000 0.000
```

VASP energy, eV per cell: -157.8
Energy relative to the lowest polymorph listed for this composition, meV per atom: 105.0



(12)
Entry from Alexandria via LeMat-Bulk: RbPtOF2 at its PBEsol-relaxed geometry (meta-GGA SCAN). Values from VASP.

```
&SYSTEM
  ibrav = 0, nat = 5, ntyp = 4
/
ATOMIC_SPECIES
F 19.00 F.upf
Rb 85.47 Rb.upf
O 16.00 O.upf
Pt 195.08 Pt.upf
CELL_PARAMETERS angstrom
3.749 0.000 0.000
0.000 4.555 0.000
0.000 0.000 4.555
ATOMIC_POSITIONS crystal
F 0.000 0.000 0.500
Rb 0.500 0.500 0.500
F 0.000 0.500 0.000
O 0.500 0.000 0.000
Pt 0.000 0.000 0.000
```

VASP energy, eV per cell: -111.5
Energy relative to the lowest polymorph listed for this composition, meV per atom: 0.0